<1>
The following is a PBE calculation of a relaxed structure of PuTcP, from the Alexandria database.

```
PuTcP
1.0
3.8781 0.0000 -1.0113
-0.2637 3.8691 -1.0113
-0.1512 -0.1619 7.3616
Pu Tc P
2 2 2
Cartesian
2.3449 2.5102 1.0508
1.1182 1.1971 4.2882
1.9390 0.0000 -0.5056
-0.1319 1.9345 -0.5056
0.3790 0.4057 1.4534
3.0841 3.3015 3.8856
```

Calculated values
The calculated volume is 109.2 Å³/cell. The total magnetization is 4.96 μB per formula unit.

***

<2>
The following is a PBE calculation of a relaxed structure of PuTcP, from the Alexandria database.

```
PuTcP
1.0
3.8440 0.0000 0.0000
0.0000 4.1069 0.0000
0.0000 -2.0534 3.5567
P Tc Pu
1 1 1
Cartesian
0.6408 0.0000 0.0000
0.6405 0.0000 2.3711
2.5627 2.0534 1.1856
```

Calculated values
The calculated volume is 56.1 Å³/cell. The total magnetization is 4.59 μB per formula unit.

***

<3>
The following is a PBE calculation of a relaxed structure of PuTcP, from the Alexandria database.

```
PuTcP
1.0
3.1125 0.0000 0.0000
0.0000 3.1125 0.0000
-1.5563 -1.5563 5.3860
P Tc Pu
1 1 1
Cartesian
0.0000 0.0000 3.2242
1.5563 1.5563 2.1931
1.5563 1.5563 5.3548
```

Calculated values
The calculated volume is 52.2 Å³/cell. The total magnetization is 5.34 μB per formula unit.

***

<4>
The following is a PBE calculation of a relaxed structure of PuTcP, from the Alexandria database.

```
PuTcP
1.0
-3.0350 -2.1414 -1.6658
-1.3858 -0.9252 3.7143
-3.8385 5.4905 -0.0645
Pu Tc P
2 2 2
Cartesian
-2.1066 -0.2281 -0.8428
-3.9423 4.1853 1.8025
-4.1297 1.2119 0.9920
-1.9193 2.7452 -0.0323
-4.1849 2.7446 -0.8777
-1.8640 1.2126 1.8374
```

Calculated values
The calculated volume is 111.0 Å³/cell. The total magnetization is 5.77 μB per formula unit.

***

Quick one: least stable of them? <3>

***

<1>
The following is a PBE calculation of a relaxed structure of PuTcP2, from the Alexandria database.

```
PuTcP2
1.0
-0.2034 3.5795 -1.4472
-3.4265 1.4942 -0.9874
-1.7740 3.6475 4.1063
P Tc Pu
2 1 1
Cartesian
-1.3221 2.0803 0.1666
-4.0818 6.6408 1.5051
0.0000 0.0000 0.0000
-2.7020 4.3606 0.8359
```

Calculated values
The calculated volume is 68.9 Å³/cell. The total magnetization is 4.23 μB per formula unit.

***

<2>
The following is a PBE calculation of a relaxed structure of PuTcP2, from the Alexandria database.

```
PuTcP2
1.0
3.1043 0.0117 0.3705
-0.0114 3.2145 -0.0062
-0.7903 -1.6012 6.6133
Pu Tc P
1 1 2
Cartesian
0.6766 2.4710 1.7085
0.2757 0.8660 5.1135
2.0417 0.8712 3.5088
1.7019 -0.7346 6.4023
```

Calculated values
The calculated volume is 66.9 Å³/cell. The total magnetization is 5.09 μB per formula unit.

***

<3>
The following is a PBE calculation of a relaxed structure of PuTcP2, from the Alexandria database.

```
PuTcP2
1.0
3.8731 0.0332 0.0000
0.0467 3.9098 0.0000
0.0000 0.0000 19.1715
Pu Tc P
4 4 8
Cartesian
0.9448 2.8164 11.7183
2.8579 0.8781 17.0389
2.9750 1.1266 7.4531
1.0618 3.0649 2.1326
0.9236 0.8635 14.3827
2.8834 2.8350 14.3744
2.9962 3.0795 4.7887
1.0363 1.1080 4.7970
1.0847 0.7840 9.6009
3.0446 2.7555 19.1563
2.8350 3.1590 9.5706
0.8751 1.1875 0.0151
0.9485 2.8205 15.7957
2.8616 0.8822 12.9615
2.9713 1.1225 3.3758
1.0581 3.0608 6.2099
```

Calculated values
The calculated volume is 290.3 Å³/cell. The total magnetization is 5.20 μB per formula unit.

***

<4>
The following is a PBE calculation of a relaxed structure of PuTcP2, from the Alexandria database.

```
PuTcP2
1.0
3.6612 0.0000 0.0000
1.8306 3.1707 0.0000
1.8306 1.0569 6.2155
Pu Tc P
1 1 2
Cartesian
5.4918 3.1707 6.1242
3.6612 2.1138 3.1887
1.8306 1.0569 4.3536
1.8306 1.0569 1.8722
```

Calculated values
The calculated volume is 72.2 Å³/cell. The total magnetization is 5.88 μB per formula unit.

***

Quick one: least stable of them? <2>

***

<1>
The following is a PBE calculation of a relaxed structure of Pu2TcP, from the Alexandria database.

```
Pu2TcP
1.0
-0.9217 -2.9167 1.9574
3.3867 -0.2007 1.2956
-1.4607 3.3747 4.3408
P Tc Pu
1 1 2
Cartesian
1.2325 -1.5587 1.6265
0.5022 0.1287 3.7969
-1.1120 2.5692 3.3047
-0.3487 0.8055 1.0361
```

Calculated values
The calculated volume is 75.0 Å³/cell. The total magnetization is 8.73 μB per formula unit.

***

<2>
The following is a PBE calculation of a relaxed structure of Pu2TcP, from the Alexandria database.

```
Pu2TcP
1.0
-2.5934 0.0878 -4.2953
1.9139 -2.6916 -1.2106
-2.3250 -2.2638 1.3575
P Tc Pu
1 1 2
Cartesian
-1.5022 -2.4338 -2.0742
-1.2967 0.0439 -2.1477
-1.1625 -1.1319 0.6788
0.9570 -1.3458 -0.6053
```

Calculated values
The calculated volume is 62.1 Å³/cell. The total magnetization is 0.12 μB per formula unit.

***

Quick one: least stable of them? <2>

***

<1>
The following is a PBE calculation of a relaxed structure of Pu4Te3P, from the Alexandria database.

```
Pu4Te3P
1.0
4.3029 0.0000 0.0000
0.0000 7.5324 -0.0771
0.0000 -2.4479 7.1239
Pu Te P
4 3 1
Cartesian
0.0000 1.1404 1.5805
2.1514 5.1774 1.6221
0.0000 3.9441 5.4663
2.1514 -0.0929 5.4247
0.0000 -1.2240 3.5620
2.1514 2.5422 3.5234
0.0000 3.7662 -0.0385
2.1514 0.0000 0.0000
```

Calculated values
The calculated volume is 230.1 Å³/cell. The total magnetization is 0.14 μB per formula unit.

***

<2>
The following is a PBE calculation of a relaxed structure of Pu4Te3P, from the Alexandria database.

```
Pu4Te3P
1.0
4.2246 0.0000 0.6450
2.0630 3.6866 0.6450
-0.0811 -0.0475 14.6883
P Te Pu
1 3 4
Cartesian
0.0000 0.0000 0.0000
4.6277 2.7133 12.1621
3.1033 1.8195 7.9891
1.5789 0.9257 3.8162
3.9724 2.3291 2.2964
5.4861 3.2166 6.5400
2.2341 1.3099 13.6819
0.7205 0.4225 9.4383
```

Calculated values
The calculated volume is 229.0 Å³/cell. The total magnetization is 0.53 μB per formula unit.

***

Quick one: least stable of them? <1>

***

<1>
The following is a PBE calculation of a relaxed structure of PuThP2, from the Alexandria database.

```
PuThP2
1.0
4.0765 0.0000 0.0000
-2.0383 3.5304 0.0019
0.0000 -0.0037 6.9103
Pu Th P
1 1 2
Cartesian
-1.0191 1.7652 0.0009
-1.0191 1.7634 3.4561
1.0191 2.9393 5.2346
1.0191 0.5875 1.6777
```

Calculated values
The calculated volume is 99.5 Å³/cell. The total magnetization is 5.49 μB per formula unit.

***

<2>
The following is a PBE calculation of a relaxed structure of PuThP2, from the Alexandria database.

```
PuThP2
1.0
-1.5734 -3.7170 -0.5261
3.4958 1.0074 -1.8256
6.8832 -4.4330 10.7340
Pu Th P
2 2 4
Cartesian
1.8371 -3.2505 1.7242
6.9685 -3.8921 6.6580
3.4416 -2.2165 5.3670
0.0000 0.0000 0.0000
4.3759 -2.2224 2.6150
6.1278 -6.0137 8.4152
4.4297 -4.9201 5.7672
2.6779 -1.1288 -0.0330
```

Calculated values
The calculated volume is 193.7 Å³/cell. The total magnetization is 5.51 μB per formula unit.

***

<3>
The following is a PBE calculation of a relaxed structure of PuThP2, from the Alexandria database.

```
PuThP2
1.0
4.0072 0.0000 0.0000
2.0036 3.4704 0.0000
2.0036 1.1568 6.9761
Pu Th P
1 1 2
Cartesian
6.0108 3.4704 6.9053
4.0072 2.3136 3.5482
2.0036 1.1568 5.3279
2.0036 1.1568 1.6589
```

Calculated values
The calculated volume is 97.0 Å³/cell. The total magnetization is 5.16 μB per formula unit.

***

Quick one: least stable of them? <1>

***

<1>
The following is a PBE calculation of a relaxed structure of Pu3UP4, from the Alexandria database.

```
Pu3UP4
1.0
3.9653 0.0000 0.0000
0.0000 6.8785 -0.0713
0.0000 -2.2363 6.5052
Pu U P
3 1 4
Cartesian
0.0000 -1.1181 3.2526
1.9826 2.3211 3.2170
0.0000 3.4393 -0.0356
1.9826 0.0000 0.0000
0.0000 1.1414 1.5820
1.9826 4.6336 1.5485
0.0000 3.5008 4.8520
1.9826 0.0087 4.8855
```

Calculated values
The calculated volume is 176.8 Å³/cell. The total magnetization is 3.16 μB per formula unit.

***

<2>
The following is a PBE calculation of a relaxed structure of Pu3UP4, from the Alexandria database.

```
Pu3UP4
1.0
-3.3640 -1.0007 -4.4198
4.5009 -0.0978 -3.4036
0.5269 -5.5535 0.8563
P U Pu
4 1 3
Cartesian
-1.6820 -0.5003 -2.2099
2.2505 -0.0489 -1.7018
0.2634 -2.7767 0.4282
0.8319 -3.3260 -3.4835
0.0000 0.0000 0.0000
2.5139 -2.8256 -1.2736
-1.4185 -3.2771 -1.7817
0.5685 -0.5492 -3.9117
```

Calculated values
The calculated volume is 179.8 Å³/cell. The total magnetization is 17.54 μB per formula unit.

***

Quick one: least stable of them? <1>

***

<1>
The following is a PBE calculation of a relaxed structure of Pu2UP, from the Alexandria database.

```
Pu2UP
1.0
3.6312 0.0000 0.0000
0.0000 3.6312 0.0000
0.0000 0.0000 5.9623
P U Pu
1 1 2
Cartesian
1.8156 1.8156 2.9812
1.8156 1.8156 0.0000
0.0000 0.0000 4.3817
0.0000 0.0000 1.5806
```

Calculated values
The calculated volume is 78.6 Å³/cell. The total magnetization is 9.17 μB per formula unit.

***

<2>
The following is a PBE calculation of a relaxed structure of Pu2UP, from the Alexandria database.

```
Pu2UP
1.0
4.1446 0.0000 0.0000
0.0000 4.2737 0.0000
0.0000 0.0000 4.2737
P U Pu
1 1 2
Cartesian
2.0723 0.0000 0.0000
2.0723 2.1368 2.1368
0.0000 0.0000 2.1368
0.0000 2.1368 0.0000
```

Calculated values
The calculated volume is 75.7 Å³/cell. The total magnetization is 7.24 μB per formula unit.

***

Quick one: least stable of them? <1>

***

<1>
The following is a PBE calculation of a relaxed structure of PuVP2, from the Alexandria database.

```
PuVP2
1.0
3.5051 0.0005 0.0001
-0.0014 3.5050 -0.0024
-1.7524 -1.7514 6.2139
Pu V P
1 1 2
Cartesian
0.3746 2.6890 1.4158
0.3752 0.9356 4.5235
2.1278 0.9393 2.9967
0.3754 -0.8159 6.0513
```

Calculated values
The calculated volume is 76.3 Å³/cell. The total magnetization is 6.77 μB per formula unit.

***

<2>
The following is a PBE calculation of a relaxed structure of PuVP2, from the Alexandria database.

```
PuVP2
1.0
-1.8814 1.3880 2.8502
0.0115 -1.7507 3.2442
4.1617 2.9723 3.6836
P V Pu
2 1 1
Cartesian
0.3892 0.5337 2.3811
1.9026 2.0761 7.3969
0.0000 0.0000 0.0000
1.1459 1.3049 4.8890
```

Calculated values
The calculated volume is 69.8 Å³/cell. The total magnetization is 4.85 μB per formula unit.

***

Quick one: least stable of them? <1>

***

<1>
The following is a PBE calculation of a relaxed structure of PuP2W, from the Alexandria database.

```
PuP2W
1.0
3.1523 0.0000 0.0000
1.5762 2.7300 0.0000
1.5762 0.9100 9.1269
P W Pu
2 1 1
Cartesian
1.5762 0.9100 6.2362
4.7285 2.7300 2.8906
3.1523 1.8200 4.5634
0.0000 0.0000 0.0000
```

Calculated values
The calculated volume is 78.5 Å³/cell. The total magnetization is 6.05 μB per formula unit.

***

<2>
The following is a PBE calculation of a relaxed structure of PuP2W, from the Alexandria database.

```
PuP2W
1.0
-1.6733 2.2328 2.1687
1.0123 0.2776 3.3744
4.1267 5.7541 0.1391
Pu P W
1 2 1
Cartesian
3.6390 7.3745 3.8531
2.8713 4.3340 0.6326
1.0495 2.2733 1.3486
1.7653 4.1690 2.8284
```

Calculated values
The calculated volume is 73.4 Å³/cell. The total magnetization is 5.96 μB per formula unit.

***

Quick one: least stable of them? <1>

***

<1>
The following is a PBE calculation of a relaxed structure of YPuP2, from the Alexandria database.

```
YPuP2
1.0
4.0122 0.0000 0.0000
2.0061 3.4747 0.0000
2.0061 1.1582 6.4880
Y Pu P
1 1 2
Cartesian
4.0122 2.3165 3.2440
0.0000 0.0000 0.0000
2.0061 1.1582 1.5802
6.0184 3.4747 4.9079
```

Calculated values
The calculated volume is 90.5 Å³/cell. The total magnetization is 4.92 μB per formula unit.

***

<2>
The following is a PBE calculation of a relaxed structure of YPuP2, from the Alexandria database.

```
YPuP2
1.0
-3.5370 1.6138 -0.8743
-3.2823 -1.2563 1.8782
-1.3289 4.7669 5.0936
Y Pu P
1 1 2
Cartesian
-4.0662 2.6011 3.0885
-5.8831 4.9653 5.7220
-1.5565 3.6464 3.9463
-2.0452 1.2407 1.4830
```

Calculated values
The calculated volume is 92.4 Å³/cell. The total magnetization is 4.97 μB per formula unit.

***

Quick one: least stable of them? <2>

***

<1>
The following is a PBE calculation of a relaxed structure of PuZnP2, from the Alexandria database.

```
PuZnP2
1.0
-3.9002 1.5155 0.6644
-2.5496 0.8016 -3.2874
-4.6541 -5.8192 -0.5395
P Zn Pu
2 1 1
Cartesian
-3.8642 -3.7399 -0.6451
-7.2398 0.2378 -2.5174
0.0000 0.0000 0.0000
-5.5520 -1.7510 -1.5812
```

Calculated values
The calculated volume is 109.7 Å³/cell. The total magnetization is 4.00 μB per formula unit.

***

<2>
The following is a PBE calculation of a relaxed structure of PuZnP2, from the Alexandria database.

```
PuZnP2
1.0
-1.6849 -2.7039 2.0862
3.2359 -2.0135 0.0038
5.6277 9.0753 16.3076
Pu Zn P
4 4 8
Cartesian
5.4151 3.3626 10.4696
4.5321 5.5612 16.0818
1.7635 0.9954 7.9280
2.6465 -1.2032 2.3158
4.5842 5.6422 12.7531
5.3597 3.2836 13.7983
2.5944 -1.2842 5.6445
1.8189 1.0743 4.5993
3.1688 3.3793 8.6770
6.7576 5.5575 17.8743
4.0099 0.9787 9.7206
0.4210 -1.1995 0.5232
6.6879 5.4158 14.1587
3.2587 3.5083 12.3926
0.4907 -1.0579 4.2388
3.9199 0.8497 6.0050
```

Calculated values
The calculated volume is 282.9 Å³/cell. The total magnetization is 5.46 μB per formula unit.

***

<3>
The following is a PBE calculation of a relaxed structure of PuZnP2, from the Alexandria database.

```
PuZnP2
1.0
3.6496 0.0000 0.0000
0.0000 4.3111 0.0000
0.0000 0.0000 4.3111
P Zn Pu
2 1 1
Cartesian
0.0000 0.0000 2.1556
0.0000 2.1556 0.0000
1.8248 0.0000 0.0000
1.8248 2.1556 2.1556
```

Calculated values
The calculated volume is 67.8 Å³/cell. The total magnetization is 4.34 μB per formula unit.

***

Quick one: least stable of them? <1>